# Li3PdPt (PBE, relaxed)
# crystal system	cubic
# uncorrected energy	-3.29	eV per atom
# space group	Pm-3m, No. 221
data_Li3PdPt
_chemical_formula_sum 'Li3 Pd1 Pt1'
_cell_length_a 4.5814
_cell_length_b 4.5814
_cell_length_c 4.5814
_cell_angle_alpha 90.00
_cell_angle_beta 90.00
_cell_angle_gamma 90.00
_space_group_name_H-M_alt 'P 1'
_space_group_IT_number 1
loop_
_space_group_symop_operation_xyz
'x,y,z'
loop_
_atom_site_label
_atom_site_fract_x
_atom_site_fract_y
_atom_site_fract_z
Li1 0.0000 0.0000 0.5000
Li2 0.0000 0.5000 0.0000
Li3 0.5000 0.0000 0.0000
Pd1 0.5000 0.5000 0.5000
Pt1 0.0000 0.0000 0.0000